Entry 1:
CePrNd2Ho5 | GGA-PBE | relaxed

Cell: 9.9103 9.9103 9.9103 Å, 127.94 127.94 76.73°
Atoms (fractional coordinates):
Ce1 0.2500 0.7500 0.5000
Ce2 0.7500 0.2500 0.5000
Pr1 0.2500 0.2500 0.0000
Pr2 0.7500 0.7500 0.0000
Nd1 0.1194 0.6194 0.7389
Nd2 0.3806 0.1194 0.5000
Nd3 0.6194 0.8806 0.5000
Nd4 0.8806 0.3806 0.2611
Ho1 0.0000 0.0000 0.0000
Ho2 0.0658 0.1575 0.5000
Ho3 0.1575 0.6575 0.0917
Ho4 0.3425 0.4342 0.5000
Ho5 0.4342 0.9342 0.0917
Ho6 0.5000 0.5000 0.0000
Ho7 0.5658 0.0658 0.9083
Ho8 0.6575 0.5658 0.5000
Ho9 0.8425 0.3425 0.9083
Ho10 0.9342 0.8425 0.5000

Calculated values
The value obtained for the formation energy is 264 meV per atom. The value obtained for the energy is -4.529 eV/atom.

Entry 2:
RbMgBe | GGA-PBE | relaxed

Cell: 4.2552 4.2563 13.1808 Å, 90.02 98.96 119.92°
Atoms (fractional coordinates):
Rb1 0.0000 0.0000 0.0000
Rb2 0.4204 0.2043 0.6495
Mg1 0.2449 0.1174 0.3810
Mg2 0.4863 0.7394 0.2402
Be1 0.6165 0.8024 0.4396
Be2 0.9436 0.4667 0.4306

Calculated values
The offset from the most stable computed form is 0.053 eV/atom. The value obtained for the formation energy is 394 meV per atom. The value obtained for the energy is -1.702 eV/atom.

Entry 3:
Ac3Sm4Te8 | GGA-PBE | relaxed

Cell: 9.1543 9.1543 9.0769 Å, 119.72 119.72 90.02°
Atoms (fractional coordinates):
Ac1 0.0000 0.0000 0.0000
Ac2 0.0000 0.5000 0.0000
Ac3 0.5000 0.0000 0.0000
Sm1 0.0000 0.5000 0.5000
Sm2 0.5000 0.0000 0.5000
Sm3 0.5000 0.5000 0.0000
Sm4 0.5000 0.5000 0.5000
Te1 0.2510 0.7490 0.5000
Te2 0.2561 0.2561 0.5117
Te3 0.2562 0.7438 0.0000
Te4 0.2579 0.2579 0.0032
Te5 0.7421 0.7421 0.9968
Te6 0.7438 0.2562 0.0000
Te7 0.7439 0.7439 0.4883
Te8 0.7490 0.2510 0.5000

Calculated values
The value obtained for the energy is -5.203 eV/atom.

Entry 4:
K2BeSi | GGA-PBE | relaxed

Cell: 9.3829 9.3829 9.3829 Å, 92.87 92.87 154.14°
Atoms (fractional coordinates):
K1 0.3750 0.1467 0.2717
K2 0.8533 0.1250 0.2283
K3 0.8750 0.1033 0.7283
K4 0.8967 0.6250 0.7717
Be1 0.2500 0.7500 0.5000
Be2 0.5000 0.5000 0.0000
Si1 0.0000 0.0000 0.0000
Si2 0.7500 0.2500 0.5000

Calculated values
The offset from the most stable computed form is 0.118 eV/atom. The value obtained for the energy is -2.553 eV/atom.

Entry 5:
NaP3W | GGA-PBE | relaxed

Cell: 4.7623 4.7623 4.7623 Å, 90.00 90.00 90.00°
Atoms (fractional coordinates):
Na1 0.0000 0.0000 0.0000
P1 0.0000 0.5000 0.5000
P2 0.5000 0.0000 0.5000
P3 0.5000 0.5000 0.0000
W1 0.5000 0.5000 0.5000

Calculated values
The offset from the most stable computed form is 0.000 eV/atom. The value obtained for the formation energy is 172 meV per atom. The value obtained for the energy is -5.928 eV/atom.

Entry 6:
AcSmVN3 | GGA-PBE | relaxed

Cell: 6.9521 6.9521 7.3188 Å, 105.07 105.07 32.76°
Atoms (fractional coordinates):
Ac1 0.1416 0.1416 0.0730
Ac2 0.8584 0.8584 0.9270
Sm1 0.1488 0.1488 0.5717
Sm2 0.8512 0.8512 0.4283
V1 0.4998 0.4998 0.2887
V2 0.5002 0.5002 0.7113
N1 0.0008 0.0008 0.2738
N2 0.3447 0.3447 0.6596
N3 0.3481 0.3481 0.1879
N4 0.6519 0.6519 0.8121
N5 0.6553 0.6553 0.3404
N6 0.9992 0.9992 0.7262

Calculated values
The value obtained for the energy is -8.339 eV/atom.

Entry 7:
PrSm3Cu2 | GGA-PBE | relaxed

Cell: 3.5786 3.5786 12.4620 Å, 90.00 90.00 90.00°
Atoms (fractional coordinates):
Pr1 0.0000 0.0000 0.0000
Sm1 0.5000 0.5000 0.2206
Sm2 0.5000 0.5000 0.5000
Sm3 0.5000 0.5000 0.7794
Cu1 0.0000 0.0000 0.3575
Cu2 0.0000 0.0000 0.6425

Calculated values
The value obtained for the formation energy is -109 meV per atom. The value obtained for the energy is -4.630 eV/atom.

Entry 8:
Zn3Pd4Pt | GGA-PBE | relaxed

Cell: 3.4633 4.1369 8.2835 Å, 90.00 90.00 90.00°
Atoms (fractional coordinates):
Zn1 0.0000 0.0000 0.0000
Zn2 0.0000 0.5000 0.2590
Zn3 0.0000 0.5000 0.7410
Pd1 0.5000 0.0000 0.2376
Pd2 0.5000 0.0000 0.7624
Pd3 0.5000 0.5000 0.0000
Pd4 0.5000 0.5000 0.5000
Pt1 0.0000 0.0000 0.5000

Calculated values
The value obtained for the formation energy is -438 meV per atom. The value obtained for the energy is -4.267 eV/atom.

Entry 9:
CsAl2Ge2 | GGA-PBE | relaxed

Cell: 4.3450 4.3450 7.3057 Å, 90.00 90.00 90.00°
Atoms (fractional coordinates):
Cs1 0.0000 0.0000 0.0000
Al1 0.0000 0.5000 0.5000
Al2 0.5000 0.0000 0.5000
Ge1 0.5000 0.5000 0.2933
Ge2 0.5000 0.5000 0.7067

Calculated values
The offset from the most stable computed form is 0.183 eV/atom. The value obtained for the formation energy is 42 meV per atom. The value obtained for the energy is -3.473 eV/atom.

Entry 10:
Sm2TmUAs4 | GGA-PBE | relaxed

Cell: 7.1650 4.1270 7.1784 Å, 90.00 109.16 90.00°
Atoms (fractional coordinates):
Sm1 0.0000 0.0000 0.0000
Sm2 0.5000 0.5000 0.0000
Tm1 0.0000 0.5000 0.5000
U1 0.5000 0.0000 0.5000
As1 0.2484 0.0000 0.7383
As2 0.2535 0.5000 0.2602
As3 0.7465 0.5000 0.7398
As4 0.7516 0.0000 0.2617

Calculated values
The value obtained for the formation energy is -1318 meV per atom. The value obtained for the energy is -6.792 eV/atom.

Entry 11:
Mg2Ta2Ni | GGA-PBE | relaxed

Cell: 6.1653 6.1653 4.5258 Å, 90.00 90.00 90.00°
Atoms (fractional coordinates):
Mg1 0.1474 0.3526 0.0000
Mg2 0.3526 0.8526 0.0000
Mg3 0.6474 0.1474 0.0000
Mg4 0.8526 0.6474 0.0000
Ta1 0.1600 0.6600 0.5000
Ta2 0.3400 0.1600 0.5000
Ta3 0.6600 0.8400 0.5000
Ta4 0.8400 0.3400 0.5000
Ni1 0.0000 0.0000 0.0000
Ni2 0.5000 0.5000 0.0000

Calculated values
The offset from the most stable computed form is 0.000 eV/atom. The value obtained for the formation energy is 570 meV per atom. The value obtained for the energy is -5.965 eV/atom.

Entry 12:
Ta2TiGa | GGA-PBE | relaxed

Cell: 4.5808 4.5808 4.5808 Å, 60.00 60.00 60.00°
Atoms (fractional coordinates):
Ta1 0.2500 0.2500 0.2500
Ta2 0.7500 0.7500 0.7500
Ti1 0.0000 0.0000 0.0000
Ga1 0.5000 0.5000 0.5000

Calculated values
The offset from the most stable computed form is 0.249 eV/atom. The value obtained for the formation energy is 81 meV per atom. The value obtained for the energy is -8.575 eV/atom.

Entry 13:
MgCoAg2 | GGA-PBE | relaxed

Cell: 2.8708 3.8812 5.8286 Å, 90.00 90.00 90.00°
Atoms (fractional coordinates):
Mg1 0.0000 0.0000 0.0000
Co1 0.5000 0.5000 0.7649
Ag1 0.0000 0.0000 0.5323
Ag2 0.5000 0.5000 0.2592

Calculated values
The value obtained for the formation energy is 160 meV per atom. The value obtained for the energy is -3.441 eV/atom.

Entry 14:
MnCu2I8 | GGA-PBE | relaxed

Cell: 8.2926 8.2926 7.6577 Å, 95.90 95.90 84.43°
Atoms (fractional coordinates):
Mn1 0.0000 0.0000 0.0000
Cu1 0.0619 0.0619 0.3786
Cu2 0.9381 0.9381 0.6214
I1 0.0506 0.7077 0.8230
I2 0.1575 0.1575 0.7004
I3 0.2923 0.9494 0.1770
I4 0.3897 0.3897 0.5194
I5 0.6103 0.6103 0.4806
I6 0.7077 0.0506 0.8230
I7 0.8425 0.8425 0.2996
I8 0.9494 0.2923 0.1770

Calculated values
The offset from the most stable computed form is 0.009 eV/atom. The value obtained for the energy is -2.843 eV/atom.

Entry 15:
Ni2RuPt5 | GGA-PBE | relaxed

Cell: 7.1686 7.1686 7.1686 Å, 125.68 125.68 80.42°
Atoms (fractional coordinates):
Ni1 0.1345 0.6345 0.7691
Ni2 0.3655 0.1345 0.5000
Ni3 0.6345 0.8655 0.5000
Ni4 0.8655 0.3655 0.2309
Ru1 0.2500 0.2500 0.0000
Ru2 0.7500 0.7500 0.0000
Pt1 0.0000 0.0000 0.0000
Pt2 0.0030 0.1858 0.5000
Pt3 0.1858 0.6858 0.1829
Pt4 0.3142 0.4970 0.5000
Pt5 0.4970 0.9970 0.1829
Pt6 0.5000 0.5000 0.0000
Pt7 0.5030 0.0030 0.8171
Pt8 0.6858 0.5030 0.5000
Pt9 0.8142 0.3142 0.8171
Pt10 0.9970 0.8142 0.5000

Calculated values
The value obtained for the formation energy is 114 meV per atom. The value obtained for the energy is -6.266 eV/atom.

Entry 16:
Zn2Cd2Au5 | GGA-PBE | relaxed

Cell: 7.8633 7.8633 7.1077 Å, 90.00 90.00 51.89°
Atoms (fractional coordinates):
Zn1 0.1432 0.8568 0.8617
Zn2 0.3568 0.6432 0.3617
Zn3 0.6432 0.3568 0.6383
Zn4 0.8568 0.1432 0.1383
Cd1 0.2093 0.2093 0.5000
Cd2 0.2907 0.2907 0.0000
Cd3 0.7093 0.7093 0.0000
Cd4 0.7907 0.7907 0.5000
Au1 0.0000 0.0000 0.5000
Au2 0.0252 0.7264 0.1620
Au3 0.2264 0.5252 0.6620
Au4 0.2736 0.9748 0.1620
Au5 0.4748 0.7736 0.6620
Au6 0.5000 0.5000 0.0000
Au7 0.5252 0.2264 0.3380
Au8 0.7264 0.0252 0.8380
Au9 0.7736 0.4748 0.3380
Au10 0.9748 0.2736 0.8380

Calculated values
The offset from the most stable computed form is 0.000 eV/atom. The value obtained for the formation energy is -101 meV per atom. The value obtained for the energy is -2.408 eV/atom.

Entry 17:
AgS5Cl7 | GGA-PBE | relaxed

Cell: 7.8800 7.8800 9.3371 Å, 109.02 109.02 99.98°
Atoms (fractional coordinates):
Ag1 0.0000 0.0000 0.0000
S1 0.2747 0.2747 0.1635
S2 0.5950 0.9354 0.6143
S3 0.6019 0.9765 0.8348
S4 0.9354 0.5950 0.6143
S5 0.9765 0.6019 0.8348
Cl1 0.0695 0.0695 0.7958
Cl2 0.2635 0.6494 0.9696
Cl3 0.3206 0.8908 0.4583
Cl4 0.3465 0.3465 0.4062
Cl5 0.6494 0.2635 0.9696
Cl6 0.8908 0.3206 0.4583
Cl7 0.9223 0.9223 0.1952

Calculated values
The value obtained for the energy is -2.894 eV/atom.

Entry 18:
Ac12Fe5Ag3 | GGA-PBE | relaxed

Cell: 15.2489 15.2489 15.2489 Å, 109.47 109.47 109.47°
Atoms (fractional coordinates):
Ac1 0.0212 0.2037 0.1163
Ac2 0.0212 0.3175 0.9049
Ac3 0.0874 0.7037 0.6825
Ac4 0.0874 0.8837 0.4049
Ac5 0.0951 0.6163 0.4126
Ac6 0.0951 0.9788 0.6825
Ac7 0.1163 0.0212 0.2037
Ac8 0.1163 0.5951 0.9126
Ac9 0.1825 0.2037 0.5874
Ac10 0.1825 0.4788 0.5951
Ac11 0.2037 0.1163 0.0212
Ac12 0.2037 0.5874 0.1825
Ac13 0.2963 0.3175 0.9126
Ac14 0.2963 0.4788 0.3837
Ac15 0.3175 0.9049 0.0212
Ac16 0.3175 0.9126 0.2963
Ac17 0.3837 0.2963 0.4788
Ac18 0.3837 0.5874 0.9049
Ac19 0.4049 0.0874 0.8837
Ac20 0.4049 0.8175 0.5212
Ac21 0.4126 0.0951 0.6163
Ac22 0.4126 0.8175 0.7963
Ac23 0.4788 0.3837 0.2963
Ac24 0.4788 0.5951 0.1825
Ac25 0.5212 0.4049 0.8175
Ac26 0.5212 0.6163 0.7037
Ac27 0.5874 0.1825 0.2037
Ac28 0.5874 0.9049 0.3837
Ac29 0.5951 0.1825 0.4788
Ac30 0.5951 0.9126 0.1163
Ac31 0.6163 0.4126 0.0951
Ac32 0.6163 0.7037 0.5212
Ac33 0.6825 0.0874 0.7037
Ac34 0.6825 0.0951 0.9788
Ac35 0.7037 0.5212 0.6163
Ac36 0.7037 0.6825 0.0874
Ac37 0.7963 0.4126 0.8175
Ac38 0.7963 0.8837 0.9788
Ac39 0.8175 0.5212 0.4049
Ac40 0.8175 0.7963 0.4126
Ac41 0.8837 0.4049 0.0874
Ac42 0.8837 0.9788 0.7963
Ac43 0.9049 0.0212 0.3175
Ac44 0.9049 0.3837 0.5874
Ac45 0.9126 0.1163 0.5951
Ac46 0.9126 0.2963 0.3175
Ac47 0.9788 0.6825 0.0951
Ac48 0.9788 0.7963 0.8837
Fe1 0.0000 0.0000 0.0000
Fe2 0.0000 0.0000 0.5000
Fe3 0.0000 0.5000 0.0000
Fe4 0.0000 0.5000 0.5000
Fe5 0.1250 0.7500 0.8750
Fe6 0.1250 0.8750 0.2500
Fe7 0.2500 0.1250 0.8750
Fe8 0.2500 0.6250 0.3750
Fe9 0.3750 0.2500 0.6250
Fe10 0.3750 0.6250 0.7500
Fe11 0.5000 0.0000 0.0000
Fe12 0.5000 0.0000 0.5000
Fe13 0.5000 0.5000 0.0000
Fe14 0.5000 0.5000 0.5000
Fe15 0.6250 0.3750 0.2500
Fe16 0.6250 0.7500 0.3750
Fe17 0.7500 0.3750 0.6250
Fe18 0.7500 0.8750 0.1250
Fe19 0.8750 0.1250 0.7500
Fe20 0.8750 0.2500 0.1250
Ag1 0.1250 0.2500 0.3750
Ag2 0.1250 0.3750 0.7500
Ag3 0.2500 0.3750 0.1250
Ag4 0.2500 0.8750 0.6250
Ag5 0.3750 0.1250 0.2500
Ag6 0.3750 0.7500 0.1250
Ag7 0.6250 0.2500 0.8750
Ag8 0.6250 0.8750 0.7500
Ag9 0.7500 0.1250 0.3750
Ag10 0.7500 0.6250 0.8750
Ag11 0.8750 0.6250 0.2500
Ag12 0.8750 0.7500 0.6250

Calculated values
The value obtained for the formation energy is 271 meV per atom. The value obtained for the energy is -4.737 eV/atom.

Entry 19:
CaYSi2 | GGA-PBE | relaxed

Cell: 7.0569 7.0569 6.3619 Å, 90.00 90.00 144.55°
Atoms (fractional coordinates):
Ca1 0.2256 0.7744 0.7500
Ca2 0.7744 0.2256 0.2500
Y1 0.0475 0.9525 0.2500
Y2 0.9525 0.0475 0.7500
Si1 0.4103 0.5897 0.0610
Si2 0.4103 0.5897 0.4390
Si3 0.5897 0.4103 0.5610
Si4 0.5897 0.4103 0.9390

Calculated values
The offset from the most stable computed form is 0.000 eV/atom. The value obtained for the energy is -5.487 eV/atom.